No. 1
# ScMnTe4, optimized geometry, DFT GGA-PBE
# Total energy, Ha/atom: -0.15156
# Uncorrected formation energy, eV/atom: 0.55
# Crystal system: cubic
# Symmetry: F-43m
data_ScMnTe4
_chemical_formula_sum 'Sc1 Mn1 Te4'
_cell_length_a 6.274
_cell_length_b 6.274
_cell_length_c 6.274
_cell_angle_alpha 60.00
_cell_angle_beta 60.00
_cell_angle_gamma 60.00
_symmetry_space_group_name_H-M 'P 1'
_symmetry_Int_Tables_number 1
loop_
_symmetry_equiv_pos_as_xyz
'x,y,z'
loop_
_atom_site_label
_atom_site_fract_x
_atom_site_fract_y
_atom_site_fract_z
Sc1 0.000 0.000 0.000
Mn1 0.250 0.250 0.250
Te1 0.125 0.625 0.625
Te2 0.625 0.125 0.625
Te3 0.625 0.625 0.125
Te4 0.625 0.625 0.625


No. 2
# MnRuCl2, optimized geometry, DFT GGA-PBE
# Total energy, Ha/atom: -0.20044
# Uncorrected formation energy, eV/atom: 0.08
# Distance to the lowest polymorph of the same formula, meV per atom: 236
# Crystal system: orthorhombic
# Symmetry: Imm2
data_MnRuCl2
_chemical_formula_sum 'Mn1 Ru1 Cl2'
_cell_length_a 7.950
_cell_length_b 7.950
_cell_length_c 7.950
_cell_angle_alpha 157.61
_cell_angle_beta 153.98
_cell_angle_gamma 34.59
_symmetry_space_group_name_H-M 'P 1'
_symmetry_Int_Tables_number 1
loop_
_symmetry_equiv_pos_as_xyz
'x,y,z'
loop_
_atom_site_label
_atom_site_fract_x
_atom_site_fract_y
_atom_site_fract_z
Mn1 0.000 0.000 0.000
Ru1 0.860 0.360 0.500
Cl1 0.318 0.818 0.500
Cl2 0.578 0.578 0.000


No. 3
# Hf4In3Au, optimized geometry, DFT GGA-PBE
# Total energy, Ha/atom: -0.24074
# Energy relative to the elements, eV per formula unit: -1.10
# Crystal system: orthorhombic
# Symmetry: Pmn2_1
data_Hf4In3Au
_chemical_formula_sum 'Hf8 In6 Au2'
_cell_length_a 10.013
_cell_length_b 6.411
_cell_length_c 5.397
_cell_angle_alpha 90.00
_cell_angle_beta 90.00
_cell_angle_gamma 90.00
_symmetry_space_group_name_H-M 'P 1'
_symmetry_Int_Tables_number 1
loop_
_symmetry_equiv_pos_as_xyz
'x,y,z'
loop_
_atom_site_label
_atom_site_fract_x
_atom_site_fract_y
_atom_site_fract_z
Hf1 0.000 0.126 0.000
Hf2 0.000 0.662 0.045
Hf3 0.223 0.098 0.407
Hf4 0.277 0.902 0.907
Hf5 0.500 0.338 0.545
Hf6 0.500 0.874 0.500
Hf7 0.723 0.902 0.907
Hf8 0.777 0.098 0.407
In1 0.000 0.398 0.527
In2 0.245 0.378 0.906
In3 0.255 0.622 0.406
In4 0.500 0.602 0.027
In5 0.745 0.622 0.406
In6 0.755 0.378 0.906
Au1 0.000 0.850 0.567
Au2 0.500 0.150 0.067


No. 4
# Hf2W, optimized geometry, DFT GGA-PBE
# Total energy, Ha/atom: -0.39868
# Energy relative to the elements, eV per formula unit: 0.31
# Crystal system: tetragonal
# Symmetry: I4/mmm
data_Hf2W
_chemical_formula_sum 'Hf2 W1'
_cell_length_a 5.755
_cell_length_b 5.755
_cell_length_c 5.755
_cell_angle_alpha 145.83
_cell_angle_beta 145.83
_cell_angle_gamma 49.10
_symmetry_space_group_name_H-M 'P 1'
_symmetry_Int_Tables_number 1
loop_
_symmetry_equiv_pos_as_xyz
'x,y,z'
loop_
_atom_site_label
_atom_site_fract_x
_atom_site_fract_y
_atom_site_fract_z
Hf1 0.149 0.149 0.000
Hf2 0.851 0.851 0.000
W1 0.500 0.500 0.000


No. 5
# BeTc3H, optimized geometry, DFT GGA-PBE
# Total energy, Ha/atom: -0.27281
# Distance to the lowest polymorph of the same formula, meV per atom: 0
# Crystal system: cubic
# Symmetry: Pm-3m
data_BeTc3H
_chemical_formula_sum 'Be1 Tc3 H1'
_cell_length_a 3.839
_cell_length_b 3.839
_cell_length_c 3.839
_cell_angle_alpha 90.00
_cell_angle_beta 90.00
_cell_angle_gamma 90.00
_symmetry_space_group_name_H-M 'P 1'
_symmetry_Int_Tables_number 1
loop_
_symmetry_equiv_pos_as_xyz
'x,y,z'
loop_
_atom_site_label
_atom_site_fract_x
_atom_site_fract_y
_atom_site_fract_z
Be1 0.000 0.000 0.000
Tc1 0.000 0.500 0.500
Tc2 0.500 0.000 0.500
Tc3 0.500 0.500 0.000
H1 0.500 0.500 0.500


No. 6
# NaInHg2S4, optimized geometry, DFT GGA-PBE
# Total energy, Ha/atom: -0.11532
# Uncorrected formation energy, eV/atom: -0.49
# Crystal system: tetragonal
# Symmetry: I-42m
data_NaInHg2S4
_chemical_formula_sum 'Na1 In1 Hg2 S4'
_cell_length_a 7.179
_cell_length_b 7.179
_cell_length_c 7.179
_cell_angle_alpha 129.12
_cell_angle_beta 129.12
_cell_angle_gamma 74.83
_symmetry_space_group_name_H-M 'P 1'
_symmetry_Int_Tables_number 1
loop_
_symmetry_equiv_pos_as_xyz
'x,y,z'
loop_
_atom_site_label
_atom_site_fract_x
_atom_site_fract_y
_atom_site_fract_z
Na1 0.000 0.000 0.000
In1 0.500 0.500 0.000
Hg1 0.250 0.750 0.500
Hg2 0.750 0.250 0.500
S1 0.140 0.140 0.532
S2 0.391 0.860 0.000
S3 0.609 0.609 0.468
S4 0.860 0.391 0.000


No. 7
# SbPtN3, optimized geometry, DFT GGA-PBE
# Total energy, Ha/atom: -0.18541
# Uncorrected formation energy, eV/atom: 1.98
# Crystal system: cubic
# Symmetry: Pm-3m
data_SbPtN3
_chemical_formula_sum 'Sb1 Pt1 N3'
_cell_length_a 4.001
_cell_length_b 4.001
_cell_length_c 4.001
_cell_angle_alpha 90.00
_cell_angle_beta 90.00
_cell_angle_gamma 90.00
_symmetry_space_group_name_H-M 'P 1'
_symmetry_Int_Tables_number 1
loop_
_symmetry_equiv_pos_as_xyz
'x,y,z'
loop_
_atom_site_label
_atom_site_fract_x
_atom_site_fract_y
_atom_site_fract_z
Sb1 0.000 0.000 0.000
Pt1 0.500 0.500 0.500
N1 0.000 0.000 0.500
N2 0.000 0.500 0.000
N3 0.500 0.000 0.000


No. 8
# NaLaTc, optimized geometry, DFT GGA-PBE
# Total energy, Ha/atom: -0.19913
# Energy relative to the elements, eV per formula unit: 0.36
# Distance to the lowest polymorph of the same formula, meV per atom: 95
# Crystal system: monoclinic
# Symmetry: P2_1/m
data_NaLaTc
_chemical_formula_sum 'Na2 La2 Tc2'
_cell_length_a 4.461
_cell_length_b 4.145
_cell_length_c 10.248
_cell_angle_alpha 90.00
_cell_angle_beta 102.50
_cell_angle_gamma 90.00
_symmetry_space_group_name_H-M 'P 1'
_symmetry_Int_Tables_number 1
loop_
_symmetry_equiv_pos_as_xyz
'x,y,z'
loop_
_atom_site_label
_atom_site_fract_x
_atom_site_fract_y
_atom_site_fract_z
Na1 0.202 0.250 0.401
Na2 0.798 0.750 0.599
La1 0.419 0.250 0.837
La2 0.581 0.750 0.163
Tc1 0.020 0.750 0.946
Tc2 0.980 0.250 0.054


Number 1: volume 175 Å³ per cell. Number 2: volume 84 Å³ per cell. Number 3: volume 346 Å³ per cell. Number 4: volume 60 Å³ per cell. Number 5: volume 57 Å³ per cell. Number 6: volume 217 Å³ per cell. Number 7: volume 64 Å³ per cell. Number 8: volume 185 Å³ per cell.